(1)
Material: Ba2SrZr
Method: DFT, PBE-GGA
State: optimized geometry

Raw total energy, eV for the cell shown: -12.33
Energy of formation, eV per atom: 0.437
Energy above the lowest structure with this stoichiometry, meV/atom: 0

The structure in CIF format:
```
data_Ba2SrZr
_space_group_name_H-M_alt 'P 4/m m m'
_space_group_IT_number 123
_space_group_name_Hall '-P 4 2'
_cell_length_a 3.892
_cell_length_b 3.892
_cell_length_c 11.725
_cell_angle_alpha 90.00
_cell_angle_beta 90.00
_cell_angle_gamma 90.00
loop_
_atom_site_label
_atom_site_type_symbol
_atom_site_fract_x
_atom_site_fract_y
_atom_site_fract_z
Ba1 Ba 0.000 0.000 0.210
Sr1 Sr 0.500 0.500 0.500
Zr1 Zr 0.500 0.500 0.000
```



(2)
Material: BaSr2Zr
Method: DFT, PBE-GGA
State: optimized geometry

Raw total energy, eV for the cell shown: -23.61
Energy of formation, eV per atom: 0.507
Energy above the lowest structure with this stoichiometry, meV/atom: 91

The structure in CIF format:
```
data_BaSr2Zr
_space_group_name_H-M_alt 'C 1 m 1'
_space_group_IT_number 8
_cell_length_a 13.050
_cell_length_b 3.852
_cell_length_c 6.975
_cell_angle_alpha 90.00
_cell_angle_beta 100.27
_cell_angle_gamma 90.00
loop_
_space_group_symop_operation_xyz
'x,y,z'
'x,-y,z'
'x+1/2,y+1/2,z'
'x+1/2,-y+1/2,z'
loop_
_atom_site_label
_atom_site_type_symbol
_atom_site_fract_x
_atom_site_fract_y
_atom_site_fract_z
Ba1 Ba 0.000 0.000 0.000
Sr1 Sr 0.235 0.000 0.726
Sr2 Sr 0.472 0.000 0.460
Zr1 Zr 0.236 0.500 0.236
```



(3)
Material: BaSrZr2
Method: DFT, PBE-GGA
State: optimized geometry

Raw total energy, eV for the cell shown: -36.77
Energy of formation, eV per atom: 0.579
Energy above the lowest structure with this stoichiometry, meV/atom: 239

The structure in CIF format:
```
data_BaSrZr2
_space_group_name_H-M_alt 'I m m 2'
_space_group_IT_number 44
_cell_length_a 3.712
_cell_length_b 6.332
_cell_length_c 12.179
_cell_angle_alpha 90.00
_cell_angle_beta 90.00
_cell_angle_gamma 90.00
loop_
_space_group_symop_operation_xyz
'x,y,z'
'-x,-y,z'
'-x,y,z'
'x,-y,z'
'x+1/2,y+1/2,z+1/2'
'-x+1/2,-y+1/2,z+1/2'
'-x+1/2,y+1/2,z+1/2'
'x+1/2,-y+1/2,z+1/2'
loop_
_atom_site_label
_atom_site_type_symbol
_atom_site_fract_x
_atom_site_fract_y
_atom_site_fract_z
Ba1 Ba 0.000 0.000 0.000
Sr1 Sr 0.000 0.500 0.793
Zr1 Zr 0.000 0.000 0.559
Zr2 Zr 0.000 0.500 0.236
```



(4)
Material: Ba2SrZr
Method: DFT, PBE-GGA
State: optimized geometry

Raw total energy, eV for the cell shown: -23.97
Energy of formation, eV per atom: 0.523
Energy above the lowest structure with this stoichiometry, meV/atom: 86

The structure in CIF format:
```
data_Ba2SrZr
_space_group_name_H-M_alt 'I m m m'
_space_group_IT_number 71
_space_group_name_Hall '-I 2 2'
_cell_length_a 4.019
_cell_length_b 6.604
_cell_length_c 13.550
_cell_angle_alpha 90.00
_cell_angle_beta 90.00
_cell_angle_gamma 90.00
loop_
_atom_site_label
_atom_site_type_symbol
_atom_site_fract_x
_atom_site_fract_y
_atom_site_fract_z
Ba1 Ba 0.000 0.000 0.214
Sr1 Sr 0.000 0.500 0.000
Zr1 Zr 0.000 0.500 0.500
```



(5)
Material: Ba2SrZr
Method: DFT, PBE-GGA
State: optimized geometry

Raw total energy, eV for the cell shown: -36.57
Energy of formation, eV per atom: 0.471
Energy above the lowest structure with this stoichiometry, meV/atom: 34

The structure in CIF format:
```
data_Ba2SrZr
_space_group_name_H-M_alt 'R 3 m'
_space_group_IT_number 160
_space_group_name_Hall 'R 3 -2"'
_cell_length_a 3.9255
_cell_length_b 3.9255
_cell_length_c 39.1148
_cell_angle_alpha 90.00
_cell_angle_beta 90.00
_cell_angle_gamma 120.00
loop_
_atom_site_label
_atom_site_type_symbol
_atom_site_fract_x
_atom_site_fract_y
_atom_site_fract_z
Ba1 Ba 0.0000 0.0000 0.0000
Ba2 Ba 0.0000 0.0000 0.2367
Sr1 Sr 0.0000 0.0000 0.7611
Zr1 Zr 0.0000 0.0000 0.4983
```



(6)
Material: BaSrZr2
Method: DFT, PBE-GGA
State: optimized geometry

Raw total energy, eV for the cell shown: -35.56
Energy of formation, eV per atom: 0.730
Energy above the lowest structure with this stoichiometry, meV/atom: 390

The structure in CIF format:
```
data_BaSrZr2
_space_group_name_H-M_alt 'I 4/m m m'
_space_group_IT_number 139
_space_group_name_Hall '-I 4 2'
_cell_length_a 4.821
_cell_length_b 4.821
_cell_length_c 11.156
_cell_angle_alpha 90.00
_cell_angle_beta 90.00
_cell_angle_gamma 90.00
loop_
_atom_site_label
_atom_site_type_symbol
_atom_site_fract_x
_atom_site_fract_y
_atom_site_fract_z
Ba1 Ba 0.000 0.000 0.000
Sr1 Sr 0.000 0.000 0.500
Zr1 Zr 0.000 0.500 0.250
```